Density functional theory data (GGA-PBE) for a relaxed structure of Co12Ni6N.

Structure (POSCAR):
```
Co12Ni6N
1.0
4.154 2.399 3.468
-4.154 2.399 3.468
0.000 -4.797 3.468
Co Ni N
12 6 1
Direct
0.022 0.944 0.298
0.056 0.702 0.978
0.124 0.454 0.344
0.298 0.022 0.944
0.344 0.124 0.454
0.454 0.344 0.124
0.546 0.656 0.876
0.656 0.876 0.546
0.702 0.978 0.056
0.876 0.546 0.656
0.944 0.298 0.022
0.978 0.056 0.702
0.238 0.386 0.755
0.245 0.762 0.614
0.386 0.755 0.238
0.614 0.245 0.762
0.755 0.238 0.386
0.762 0.614 0.245
0.500 0.500 0.500
```

Electronic total energy   -6.495 eV/atom

Density functional theory data (GGA-PBE) for a relaxed structure of Co3Ni2N.

Structure (POSCAR):
```
Co3Ni2N
1.0
6.182 0.000 0.000
0.000 6.182 0.000
0.000 0.000 6.182
Co Ni N
12 8 4
Direct
0.046 0.125 0.796
0.125 0.796 0.046
0.204 0.546 0.375
0.296 0.454 0.875
0.375 0.204 0.546
0.454 0.875 0.296
0.546 0.375 0.204
0.625 0.704 0.954
0.704 0.954 0.625
0.796 0.046 0.125
0.875 0.296 0.454
0.954 0.625 0.704
0.065 0.935 0.435
0.185 0.185 0.185
0.315 0.815 0.685
0.435 0.065 0.935
0.565 0.565 0.565
0.685 0.315 0.815
0.815 0.685 0.315
0.935 0.435 0.065
0.125 0.375 0.625
0.375 0.625 0.125
0.625 0.125 0.375
0.875 0.875 0.875
```

Electronic total energy   -6.794 eV/atom

Density functional theory data (GGA-PBE) for a relaxed structure of CoNi3N.

Structure (POSCAR):
```
CoNi3N
1.0
4.242 0.000 0.000
0.000 4.242 0.000
0.000 0.000 4.242
Co Ni N
1 3 1
Direct
0.000 0.000 0.000
0.000 0.000 0.500
0.000 0.500 0.000
0.500 0.000 0.000
0.500 0.500 0.500
```

Energy above the most stable polymorph in this dataset   1846 meV per atom

Density functional theory data (GGA-PBE) for a relaxed structure of Co5NiN4.

Structure (POSCAR):
```
Co5NiN4
1.0
5.789 0.000 0.000
0.000 7.223 0.000
0.000 0.000 4.467
Co Ni N
10 2 8
Direct
0.024 0.074 0.243
0.024 0.426 0.243
0.250 0.250 0.750
0.476 0.074 0.243
0.476 0.426 0.243
0.524 0.574 0.757
0.524 0.926 0.757
0.750 0.750 0.250
0.976 0.574 0.757
0.976 0.926 0.757
0.250 0.750 0.174
0.750 0.250 0.826
0.018 0.750 0.478
0.250 0.001 0.948
0.250 0.499 0.948
0.482 0.750 0.478
0.518 0.250 0.522
0.750 0.501 0.052
0.750 0.999 0.052
0.982 0.250 0.522
```

Electronic total energy   -7.236 eV/atom

Density functional theory data (GGA-PBE) for a relaxed structure of Co2NiN2.

Structure (POSCAR):
```
Co2NiN2
1.0
1.371 0.792 7.583
-1.371 0.792 7.583
0.000 -1.583 7.583
Co Ni N
2 1 2
Direct
0.215 0.215 0.215
0.785 0.785 0.785
0.000 0.000 0.000
0.080 0.080 0.080
0.920 0.920 0.920
```

Electronic total energy   -7.160 eV/atom